No. 1
Here is a relaxed structure of RbTl3Os2O8 from Alexandria. Energies are from GGA-PBE.

Structure (extended XYZ):
```
14
Lattice="6.398 0.000 0.000 -3.199 5.541 0.000 0.000 0.000 8.563" Properties=species:S:1:pos:R:3 pbc="T T T"
Rb 0.000 0.000 0.000
Tl 0.000 0.000 4.282
Tl 0.000 3.694 1.660
Tl 3.199 1.847 6.904
Os 0.000 3.694 5.884
Os 3.199 1.847 2.680
O 0.000 1.997 6.526
O -1.469 4.542 6.526
O 0.000 3.694 4.075
O 1.730 0.999 2.038
O 1.469 4.542 6.526
O 3.199 1.847 4.488
O 4.669 0.999 2.038
O 3.199 3.544 2.038
```

Its symmetry is P-3m1, No. 164. The calculation puts the electronic total energy at -83.43 eV per cell. For the spin magnetization, the calculation gives 4.01 μB per formula unit.

No. 2
Here is a relaxed structure of Rb2TlOs2O7 from Alexandria. Energies are from GGA-PBE.

Structure (extended XYZ):
```
12
Lattice="-1.978 1.978 11.280 1.978 -1.978 11.280 1.978 1.978 -11.280" Properties=species:S:1:pos:R:3 pbc="T T T"
Rb 0.000 0.000 4.283
Rb 0.000 0.000 18.276
Tl 0.000 0.000 0.000
Os 0.000 0.000 9.238
Os 0.000 0.000 13.322
O 1.978 0.000 1.999
O 0.000 0.000 7.354
O 1.978 0.000 9.281
O 0.000 0.000 11.280
O 0.000 1.978 1.999
O 0.000 0.000 15.205
O 0.000 1.978 9.281
```

Its symmetry is I4/mmm, No. 139. The calculation puts the electronic total energy at -74.21 eV per cell. For the spin magnetization, the calculation gives 1.06 μB per formula unit.

No. 3
Here is a relaxed structure of RbTlOsO4 from Alexandria. Energies are from GGA-PBE.

Structure (extended XYZ):
```
7
Lattice="0.000 5.005 5.005 5.005 0.000 5.005 5.005 5.005 0.000" Properties=species:S:1:pos:R:3 pbc="T T T"
Rb 0.000 0.000 0.000
Tl 7.507 7.507 7.507
Os 5.005 5.005 5.005
O 6.050 3.960 3.960
O 3.960 6.050 3.960
O 3.960 3.960 6.050
O 6.050 6.050 6.050
```

Its symmetry is F-43m, No. 216. The calculation puts the electronic total energy at -40.91 eV per cell. For the spin magnetization, the calculation gives 2.01 μB per formula unit.

No. 4
Here is a relaxed structure of Rb2Tl3OsO6 from Alexandria. Energies are from GGA-PBE.

Structure (extended XYZ):
```
12
Lattice="3.311 -6.061 0.000 3.311 6.061 0.000 -1.963 0.000 5.873" Properties=species:S:1:pos:R:3 pbc="T T T"
Rb 3.311 3.957 0.000
Rb 3.311 -3.957 0.000
Tl -0.981 0.000 2.937
Tl 2.329 1.765 2.937
Tl 2.329 -1.765 2.937
Os 3.311 0.000 0.000
O 0.518 1.338 4.798
O 1.770 0.000 1.271
O 0.518 -1.338 4.798
O 4.140 1.338 1.076
O 2.888 0.000 4.603
O 4.140 -1.338 1.076
```

Its symmetry is C2/m, No. 12. The calculation puts the electronic total energy at -62.56 eV per cell. For the spin magnetization, the calculation gives 0.99 μB per formula unit.

No. 5
Here is a relaxed structure of RbTlOsO2 from Alexandria. Energies are from GGA-PBE.

Structure (extended XYZ):
```
5
Lattice="4.298 0.000 0.000 0.000 4.298 0.000 0.000 0.000 6.279" Properties=species:S:1:pos:R:3 pbc="T T T"
Rb 0.000 0.000 0.000
Tl 2.149 2.149 3.140
Os 0.000 0.000 3.140
O 0.000 2.149 0.000
O 2.149 0.000 0.000
```

Its symmetry is P4/mmm, No. 123. The calculation puts the electronic total energy at -15.91 eV per cell. For the spin magnetization, the calculation gives 3.20 μB per formula unit.

No. 6
Here is a relaxed structure of Rb4TlOs3O12 from Alexandria. Energies are from GGA-PBE.

Structure (extended XYZ):
```
20
Lattice="-4.085 4.085 4.085 4.085 -4.085 4.085 4.085 4.085 -4.085" Properties=species:S:1:pos:R:3 pbc="T T T"
Rb 2.042 2.042 -2.042
Rb 2.042 -2.042 2.042
Rb -2.042 2.042 2.042
Rb 2.042 2.042 2.042
Tl 0.000 0.000 0.000
Os 4.085 0.000 0.000
Os 0.000 4.085 0.000
Os 0.000 0.000 4.085
O 2.212 0.000 0.000
O 5.958 0.000 0.000
O 4.085 2.042 0.000
O 4.085 0.000 2.042
O 0.000 2.212 0.000
O 0.000 0.000 2.212
O 2.042 4.085 0.000
O 2.042 0.000 4.085
O 0.000 5.958 0.000
O 0.000 0.000 5.958
O 0.000 4.085 2.042
O 0.000 2.042 4.085
```

Its symmetry is Im-3m, No. 229. The calculation puts the electronic total energy at -120.25 eV per cell. For the spin magnetization, the calculation gives 0.06 μB per formula unit.

No. 7
Here is a relaxed structure of Rb2Tl2OsO6 from Alexandria. Energies are from GGA-PBE.

Structure (extended XYZ):
```
11
Lattice="3.453 -5.768 0.000 3.453 5.768 0.000 -1.502 0.000 5.953" Properties=species:S:1:pos:R:3 pbc="T T T"
Rb 3.453 3.956 0.000
Rb 3.453 -3.956 0.000
Tl 2.702 1.737 2.976
Tl 2.702 -1.737 2.976
Os 3.453 0.000 0.000
O 1.083 1.326 4.965
O 2.008 0.000 1.320
O 1.083 -1.326 4.965
O 4.321 1.326 0.988
O 3.396 0.000 4.632
O 4.321 -1.326 0.988
```

Its symmetry is C2/m, No. 12. The calculation puts the electronic total energy at -59.95 eV per cell. For the spin magnetization, the calculation gives 0.00 μB per formula unit.

No. 8
Here is a relaxed structure of Rb3Tl3OsO8 from Alexandria. Energies are from GGA-PBE.

Structure (extended XYZ):
```
15
Lattice="6.180 -3.540 0.000 6.180 3.540 0.000 -4.080 0.000 6.505" Properties=species:S:1:pos:R:3 pbc="T T T"
Rb 0.000 0.000 0.000
Rb 3.090 1.770 0.000
Rb 3.090 -1.770 0.000
Tl 1.050 1.770 3.252
Tl 1.050 -1.770 3.252
Tl 4.140 0.000 3.252
Os -2.040 0.000 3.252
O -0.417 0.000 4.333
O 3.335 2.135 4.337
O 4.945 2.135 2.168
O 2.027 0.000 2.052
O 6.253 0.000 4.453
O 3.335 -2.135 4.337
O 4.945 -2.135 2.168
O 8.697 0.000 2.172
```

Its symmetry is C2/m, No. 12. The calculation puts the electronic total energy at -76.47 eV per cell. For the spin magnetization, the calculation gives 0.00 μB per formula unit.

no.,uncorrected formation energy (eV/f.u.)
1,-13.24
2,-12.74
3,-6.51
4,-12.55
5,8.57
6,-20.83
7,-12.30
8,-15.58